1.
Ce5PuRu6: relaxed, GGA-PBE.

```
Ce5PuRu6
1.0
5.642 0.705 0.000
2.221 7.042 0.000
1.110 3.521 6.667
Ce Ru Pu
5 6 1
Cartesian
5.042 7.394 1.858
3.932 3.873 4.809
3.932 3.873 0.000
2.221 7.042 4.055
1.110 3.521 2.612
3.465 5.340 2.270
6.700 5.652 0.000
1.164 2.094 0.000
4.575 8.861 4.397
5.509 5.927 4.397
4.398 2.406 2.270
0.000 0.000 0.000
```

Computed properties:
V: 254 Å³/cell

---

2.
Ce5PuRu6: relaxed, GGA-PBE.

```
Ce5PuRu6
1.0
0.026 -3.174 -3.425
0.288 -4.378 7.224
-6.629 5.015 -1.533
Ce Ru Pu
5 6 1
Cartesian
-5.477 1.880 -1.803
-2.013 -1.254 4.311
-3.158 -1.269 1.133
-0.839 -4.418 4.069
-4.328 1.890 1.380
-0.642 -2.248 2.083
-1.359 -2.145 -1.227
-2.912 0.835 -0.791
-3.404 -3.373 3.057
-5.674 -0.290 0.183
-4.956 -0.393 3.493
0.000 0.000 0.000
```

Computed properties:
V: 244 Å³/cell

---

The calculated energies rank the structures as follows, beginning with the most stable: 2, 1.